DFT (PBE-GGA) results for a geometry-optimized ThU4S5 structure.

a b c (Å): 6.790 6.790 9.585
angles (deg): 118.34 118.34 33.24
Fractional coordinates of all 10 atoms:
Th1 0.000 0.000 0.000
U1 0.202 0.202 0.795
U2 0.403 0.403 0.601
U3 0.597 0.597 0.399
U4 0.798 0.798 0.205
S1 0.000 0.000 0.500
S2 0.202 0.202 0.309
S3 0.393 0.393 0.103
S4 0.607 0.607 0.897
S5 0.798 0.798 0.691

Results
- Energy relative to the elements, uncorrected: -1457.5 meV per atom
- Total magnetization: 9.3 μB per formula unit
- Fermi-level density of states: 21.0 states/eV/f.u.
- Calculated total energy: -8.778 eV per atom


DFT (PBE-GGA) results for a geometry-optimized ThUS2 structure.

a b c (Å): 3.968 3.968 5.623
angles (deg): 90.00 90.00 90.00
Fractional coordinates of all 4 atoms:
Th1 0.000 0.000 0.000
U1 0.500 0.500 0.500
S1 0.000 0.000 0.500
S2 0.500 0.500 0.000

Results
- Energy relative to the elements, uncorrected: -1572.9 meV per atom
- Total magnetization: 2.5 μB per formula unit
- Distance to the lowest polymorph of the same formula: 31 meV/atom
- Fermi-level density of states: 6.9 states/eV/f.u.
- Calculated total energy: -8.314 eV per atom


DFT (PBE-GGA) results for a geometry-optimized Th2U2S7 structure.

a b c (Å): 8.560 8.560 8.560
angles (deg): 153.19 67.62 119.23
Fractional coordinates of all 11 atoms:
Th1 0.242 0.000 0.242
Th2 0.758 0.000 0.758
U1 0.243 0.243 0.000
U2 0.694 0.194 0.500
S1 0.054 0.691 0.363
S2 0.328 0.691 0.637
S3 0.412 0.521 0.892
S4 0.618 0.300 0.318
S5 0.629 0.521 0.108
S6 0.921 0.921 0.000
S7 0.982 0.300 0.682

Results
- Energy relative to the elements, uncorrected: -1691.0 meV per atom
- Total magnetization: 0.1 μB per formula unit
- Fermi-level density of states: 15.3 states/eV/f.u.
- Calculated total energy: -7.719 eV per atom


DFT (PBE-GGA) results for a geometry-optimized ThVS2 structure.

a b c (Å): 8.864 8.864 8.864
angles (deg): 21.54 21.54 21.54
Fractional coordinates of all 4 atoms:
Th1 0.000 0.000 0.000
V1 0.500 0.500 0.500
S1 0.111 0.111 0.111
S2 0.889 0.889 0.889

Results
- Energy relative to the elements, uncorrected: -667.5 meV per atom
- Total magnetization: 0.1 μB per formula unit
- Fermi-level density of states: 5.3 states/eV/f.u.
- Calculated total energy: -6.866 eV per atom


DFT (PBE-GGA) results for a geometry-optimized Th2WS structure.

a b c (Å): 9.808 9.808 9.808
angles (deg): 20.24 20.24 20.24
Fractional coordinates of all 4 atoms:
Th1 0.095 0.095 0.095
Th2 0.905 0.905 0.905
W1 0.000 0.000 0.000
S1 0.500 0.500 0.500

Results
- Energy relative to the elements, uncorrected: 180.2 meV per atom
- Total magnetization: 0.0 μB per formula unit
- Fermi-level density of states: 4.8 states/eV/f.u.
- Calculated total energy: -7.800 eV per atom


DFT (PBE-GGA) results for a geometry-optimized ThWS structure.

a b c (Å): 3.817 3.817 8.777
angles (deg): 90.00 90.00 90.00
Fractional coordinates of all 6 atoms:
Th1 0.250 0.250 0.195
Th2 0.750 0.750 0.805
W1 0.250 0.250 0.568
W2 0.750 0.750 0.432
S1 0.250 0.250 0.853
S2 0.750 0.750 0.147

Results
- Energy relative to the elements, uncorrected: -633.6 meV per atom
- Total magnetization: 0.0 μB per formula unit
- Fermi-level density of states: 2.1 states/eV/f.u.
- Calculated total energy: -8.800 eV per atom


DFT (PBE-GGA) results for a geometry-optimized Y3Th5S8 structure.

a b c (Å): 8.080 8.080 8.080
angles (deg): 58.61 58.61 58.61
Fractional coordinates of all 16 atoms:
Y1 0.000 0.500 0.500
Y2 0.500 0.000 0.500
Y3 0.500 0.500 0.000
Th1 0.000 0.000 0.000
Th2 0.000 0.000 0.500
Th3 0.000 0.500 0.000
Th4 0.500 0.000 0.000
Th5 0.500 0.500 0.500
S1 0.250 0.250 0.740
S2 0.250 0.740 0.250
S3 0.255 0.255 0.255
S4 0.260 0.750 0.750
S5 0.740 0.250 0.250
S6 0.745 0.745 0.745
S7 0.750 0.260 0.750
S8 0.750 0.750 0.260

Results
- Energy relative to the elements, uncorrected: -1890.1 meV per atom
- Total magnetization: 0.0 μB per formula unit
- Fermi-level density of states: 6.8 states/eV/f.u.
- Calculated total energy: -7.485 eV per atom


DFT (PBE-GGA) results for a geometry-optimized YThS2 structure.

a b c (Å): 7.098 7.098 7.098
angles (deg): 31.99 31.99 31.99
Fractional coordinates of all 4 atoms:
Y1 0.000 0.000 0.000
Th1 0.500 0.500 0.500
S1 0.255 0.255 0.255
S2 0.745 0.745 0.745

Results
- Energy relative to the elements, uncorrected: -1909.9 meV per atom
- Total magnetization: 0.0 μB per formula unit
- Distance to the lowest polymorph of the same formula: 0 meV/atom
- Fermi-level density of states: 2.0 states/eV/f.u.
- Calculated total energy: -7.445 eV per atom


DFT (PBE-GGA) results for a geometry-optimized Y2ThS4 structure.

a b c (Å): 6.785 6.785 13.040
angles (deg): 90.00 90.00 146.69
Fractional coordinates of all 14 atoms:
Y1 0.134 0.866 0.567
Y2 0.134 0.866 0.933
Y3 0.866 0.134 0.067
Y4 0.866 0.134 0.433
Th1 0.375 0.625 0.750
Th2 0.625 0.375 0.250
S1 0.032 0.968 0.750
S2 0.227 0.773 0.124
S3 0.227 0.773 0.376
S4 0.500 0.500 0.000
S5 0.500 0.500 0.500
S6 0.773 0.227 0.624
S7 0.773 0.227 0.876
S8 0.968 0.032 0.250

Results
- Energy relative to the elements, uncorrected: -1971.7 meV per atom
- Total magnetization: 0.0 μB per formula unit
- Fermi-level density of states: 3.6 states/eV/f.u.
- Calculated total energy: -7.237 eV per atom


DFT (PBE-GGA) results for a geometry-optimized YThS structure.

a b c (Å): 3.852 3.852 6.473
angles (deg): 90.00 90.00 120.00
Fractional coordinates of all 3 atoms:
Y1 0.000 0.000 0.000
Th1 0.667 0.333 0.528
S1 0.333 0.667 0.248

Results
- Energy relative to the elements, uncorrected: -1115.4 meV per atom
- Total magnetization: 0.8 μB per formula unit
- Distance to the lowest polymorph of the same formula: 8 meV/atom
- Fermi-level density of states: 3.3 states/eV/f.u.
- Calculated total energy: -7.119 eV per atom


DFT (PBE-GGA) results for a geometry-optimized Y4ThS6 structure.

a b c (Å): 6.743 6.743 19.691
angles (deg): 90.00 90.00 146.54
Fractional coordinates of all 22 atoms:
Y1 0.089 0.911 0.625
Y2 0.089 0.911 0.875
Y3 0.362 0.638 0.539
Y4 0.362 0.638 0.961
Y5 0.638 0.362 0.039
Y6 0.638 0.362 0.461
Y7 0.911 0.089 0.125
Y8 0.911 0.089 0.375
Th1 0.155 0.845 0.250
Th2 0.845 0.155 0.750
S1 0.000 0.000 0.000
S2 0.000 0.000 0.500
S3 0.187 0.813 0.750
S4 0.267 0.733 0.092
S5 0.267 0.733 0.408
S6 0.451 0.549 0.667
S7 0.451 0.549 0.833
S8 0.549 0.451 0.167
S9 0.549 0.451 0.333
S10 0.733 0.267 0.592
S11 0.733 0.267 0.908
S12 0.813 0.187 0.250

Results
- Energy relative to the elements, uncorrected: -1999.4 meV per atom
- Total magnetization: 0.0 μB per formula unit
- Fermi-level density of states: 4.0 states/eV/f.u.
- Calculated total energy: -7.276 eV per atom


DFT (PBE-GGA) results for a geometry-optimized Y2ThS structure.

a b c (Å): 10.376 10.376 10.376
angles (deg): 20.12 20.12 20.12
Fractional coordinates of all 4 atoms:
Y1 0.112 0.112 0.112
Y2 0.888 0.888 0.888
Th1 0.000 0.000 0.000
S1 0.500 0.500 0.500

Results
- Energy relative to the elements, uncorrected: -708.9 meV per atom
- Total magnetization: 0.0 μB per formula unit
- Fermi-level density of states: 3.5 states/eV/f.u.
- Calculated total energy: -6.828 eV per atom


DFT (PBE-GGA) results for a geometry-optimized Y2Th2S7 structure.

a b c (Å): 4.680 4.680 13.141
angles (deg): 90.00 90.00 90.00
Fractional coordinates of all 11 atoms:
Y1 0.000 0.500 0.138
Y2 0.500 0.000 0.862
Th1 0.000 0.500 0.628
Th2 0.500 0.000 0.372
S1 0.000 0.000 0.232
S2 0.000 0.000 0.500
S3 0.000 0.000 0.768
S4 0.500 0.500 0.000
S5 0.500 0.500 0.254
S6 0.500 0.500 0.500
S7 0.500 0.500 0.746

Results
- Energy relative to the elements, uncorrected: -1924.4 meV per atom
- Total magnetization: 0.0 μB per formula unit
- Calculated total energy: -7.075 eV per atom


DFT (PBE-GGA) results for a geometry-optimized YTh3S structure.

a b c (Å): 5.431 5.431 5.431
angles (deg): 90.00 90.00 90.00
Fractional coordinates of all 5 atoms:
Y1 0.000 0.000 0.000
Th1 0.000 0.500 0.500
Th2 0.500 0.000 0.500
Th3 0.500 0.500 0.000
S1 0.500 0.500 0.500

Results
- Energy relative to the elements, uncorrected: -580.6 meV per atom
- Total magnetization: 0.0 μB per formula unit
- Fermi-level density of states: 4.8 states/eV/f.u.
- Calculated total energy: -7.151 eV per atom


DFT (PBE-GGA) results for a geometry-optimized YThS structure.

a b c (Å): 3.780 3.822 5.678
angles (deg): 90.00 90.00 90.00
Fractional coordinates of all 3 atoms:
Y1 0.000 0.000 0.000
Th1 0.500 0.500 0.500
S1 0.500 0.500 0.000

Results
- Energy relative to the elements, uncorrected: -1123.0 meV per atom
- Total magnetization: 0.0 μB per formula unit
- Distance to the lowest polymorph of the same formula: 0 meV/atom
- Fermi-level density of states: 4.1 states/eV/f.u.
- Calculated total energy: -7.127 eV per atom


DFT (PBE-GGA) results for a geometry-optimized YTh5S6 structure.

a b c (Å): 6.993 6.993 6.939
angles (deg): 99.68 99.68 120.10
Fractional coordinates of all 12 atoms:
Y1 0.000 0.000 0.000
Th1 0.170 0.830 0.500
Th2 0.333 0.667 0.000
Th3 0.500 0.500 0.500
Th4 0.667 0.333 0.000
Th5 0.830 0.170 0.500
S1 0.081 0.407 0.244
S2 0.243 0.243 0.752
S3 0.407 0.081 0.244
S4 0.593 0.919 0.756
S5 0.757 0.757 0.248
S6 0.919 0.593 0.756

Results
- Energy relative to the elements, uncorrected: -1860.8 meV per atom
- Total magnetization: 0.0 μB per formula unit
- Fermi-level density of states: 7.5 states/eV/f.u.
- Calculated total energy: -7.555 eV per atom


DFT (PBE-GGA) results for a geometry-optimized YTh2S5 structure.

a b c (Å): 7.765 12.035 3.949
angles (deg): 90.00 90.00 90.00
Fractional coordinates of all 16 atoms:
Y1 0.000 0.000 0.000
Y2 0.500 0.500 0.000
Th1 0.019 0.323 0.500
Th2 0.481 0.823 0.500
Th3 0.519 0.177 0.500
Th4 0.981 0.677 0.500
S1 0.000 0.500 0.000
S2 0.167 0.105 0.500
S3 0.185 0.804 0.000
S4 0.315 0.304 0.000
S5 0.333 0.605 0.500
S6 0.500 0.000 0.000
S7 0.667 0.395 0.500
S8 0.685 0.696 0.000
S9 0.815 0.196 0.000
S10 0.833 0.895 0.500

Results
- Energy relative to the elements, uncorrected: -1982.1 meV per atom
- Total magnetization: 0.0 μB per formula unit
- Fermi-level density of states: 1.7 states/eV/f.u.
- Calculated total energy: -7.225 eV per atom


DFT (PBE-GGA) results for a geometry-optimized Y3ThS6 structure.

a b c (Å): 11.076 3.951 11.363
angles (deg): 90.00 108.19 90.00
Fractional coordinates of all 20 atoms:
Y1 0.067 0.250 0.166
Y2 0.179 0.750 0.501
Y3 0.339 0.250 0.918
Y4 0.661 0.750 0.082
Y5 0.821 0.250 0.499
Y6 0.933 0.750 0.834
Th1 0.452 0.250 0.304
Th2 0.548 0.750 0.696
S1 0.020 0.250 0.385
S2 0.104 0.250 0.938
S3 0.242 0.750 0.274
S4 0.310 0.750 0.749
S5 0.384 0.250 0.535
S6 0.418 0.750 0.096
S7 0.582 0.250 0.904
S8 0.616 0.750 0.465
S9 0.690 0.250 0.251
S10 0.758 0.250 0.726
S11 0.896 0.750 0.062
S12 0.980 0.750 0.615

Results
- Energy relative to the elements, uncorrected: -2058.8 meV per atom
- Total magnetization: 0.0 μB per formula unit
- Fermi-level density of states: 1.5 states/eV/f.u.
- Calculated total energy: -7.216 eV per atom


DFT (PBE-GGA) results for a geometry-optimized Y2ThS3 structure.

a b c (Å): 6.892 6.892 6.892
angles (deg): 146.85 131.84 59.72
Fractional coordinates of all 6 atoms:
Y1 0.164 0.164 0.000
Y2 0.836 0.836 0.000
Th1 0.500 0.500 0.000
S1 0.000 0.500 0.500
S2 0.326 0.826 0.500
S3 0.674 0.174 0.500

Results
- Energy relative to the elements, uncorrected: -1916.5 meV per atom
- Total magnetization: 0.0 μB per formula unit
- Fermi-level density of states: 4.0 states/eV/f.u.
- Calculated total energy: -7.372 eV per atom


DFT (PBE-GGA) results for a geometry-optimized YThS2 structure.

a b c (Å): 3.896 3.896 13.689
angles (deg): 90.00 90.00 120.00
Fractional coordinates of all 8 atoms:
Y1 0.000 0.000 0.000
Y2 0.000 0.000 0.500
Th1 0.333 0.667 0.250
Th2 0.667 0.333 0.750
S1 0.333 0.667 0.617
S2 0.333 0.667 0.883
S3 0.667 0.333 0.117
S4 0.667 0.333 0.383

Results
- Energy relative to the elements, uncorrected: -1876.2 meV per atom
- Total magnetization: 0.0 μB per formula unit
- Distance to the lowest polymorph of the same formula: 34 meV/atom
- Fermi-level density of states: 2.1 states/eV/f.u.
- Calculated total energy: -7.411 eV per atom